Record 1
First-principles (PBE) data for a relaxed structure of AcLaPtPb, as listed in Alexandria.

DOS(E_F) = 1.5 states/eV/cell
E_form = -0.68 eV/atom
Volume = 30.10 A^3/atom
Electronic total energy = -5.3734 eV/atom
Total magnetization = 0.0 μB/f.u.

abc: 5.543 5.543 5.543
angles: 60.00 60.00 60.00
Fractional positions:
Ac 0.000 0.000 0.000
La 0.500 0.500 0.500
Pt 0.250 0.250 0.250
Pb 0.750 0.750 0.750

Record 2
First-principles (PBE) data for a relaxed structure of TiBe3Ni, as listed in Alexandria.

DOS(E_F) = 2.2 states/eV/cell
E_form = 1.82 eV/atom
Volume = 15.67 A^3/atom
Electronic total energy = -3.1461 eV/atom
Polymorph energy (0 for the lowest one) = 1.697 eV/atom
Total magnetization = 2.0 μB/f.u.

abc: 4.279 4.279 4.279
angles: 90.00 90.00 90.00
Fractional positions:
Ti 0.000 0.000 0.000
Be 0.000 0.000 0.500
Be 0.000 0.500 0.000
Be 0.500 0.000 0.000
Ni 0.500 0.500 0.500

Record 3
First-principles (PBE) data for a relaxed structure of Rb2MgZnI6, as listed in Alexandria.

DOS(E_F) = 0.0 states/eV/cell
E_form (uncorrected) = -1.03 eV per atom
Volume = 55.83 A^3/atom
Electronic total energy = -2.4434 eV/atom
Polymorph energy (0 for the lowest one) = 0.000 eV/atom
Total magnetization = 0.0 μB/f.u.

abc: 8.429 8.434 10.269
angles: 114.07 90.16 119.85
Fractional positions:
Rb 0.000 0.000 0.000
Rb 0.499 0.994 0.490
Mg 0.243 0.485 0.730
Zn 0.732 0.461 0.193
I 0.058 0.519 0.189
I 0.199 0.138 0.708
I 0.463 0.128 0.185
I 0.568 0.763 0.707
I 0.667 0.723 0.186
I 0.942 0.510 0.713

Record 4
First-principles (PBE) data for a relaxed structure of KYV2, as listed in Alexandria.

DOS(E_F) = 10.2 states/eV/cell
E_form = 1.54 eV/atom
Volume = 27.27 A^3/atom
Electronic total energy = -4.9084 eV/atom
Polymorph energy (0 for the lowest one) = 0.251 eV/atom
Total magnetization = 1.8 μB/f.u.

abc: 11.177 11.177 11.177
angles: 156.71 156.71 33.17
Fractional positions:
K 0.000 0.000 0.000
K 0.750 0.250 0.500
Y 0.250 0.750 0.500
Y 0.500 0.500 0.000
V 0.293 0.625 0.168
V 0.375 0.543 0.668
V 0.457 0.125 0.832
V 0.875 0.707 0.332

Record 5
First-principles (PBE) data for a relaxed structure of Tm2AlTl3Se6, as listed in Alexandria.

E_form (uncorrected) = -1.11 eV per atom
Volume = 27.52 A^3/atom
Electronic total energy = -4.5000 eV/atom
Total magnetization = 0.0 μB/f.u.

abc: 7.000 7.000 8.111
angles: 98.31 98.31 119.82
Fractional positions:
Tm 0.166 0.834 0.000
Tm 0.834 0.166 0.000
Al 0.500 0.500 0.000
Tl 0.000 0.000 0.500
Tl 0.327 0.673 0.500
Tl 0.673 0.327 0.500
Se 0.127 0.437 0.809
Se 0.254 0.254 0.199
Se 0.437 0.127 0.809
Se 0.563 0.873 0.191
Se 0.746 0.746 0.801
Se 0.873 0.563 0.191

Record 6
First-principles (PBE) data for a relaxed structure of Co2AgCl, as listed in Alexandria.

DOS(E_F) = 5.6 states/eV/cell
E_form (uncorrected) = 0.78 eV per atom
Volume = 15.63 A^3/atom
Electronic total energy = -3.9479 eV/atom
Polymorph energy (0 for the lowest one) = 0.577 eV/atom
Total magnetization = 4.0 μB/f.u.

abc: 3.775 3.775 4.388
angles: 90.00 90.00 90.00
Fractional positions:
Co 0.000 0.500 0.000
Co 0.500 0.000 0.000
Ag 0.000 0.000 0.500
Cl 0.500 0.500 0.500